The following is a PBE calculation of a relaxed structure of RbHfCu2As, from Alexandria.

Unit cell a=4.9515 b=6.2373 c=4.9515 alpha=90.00 beta=90.00 gamma=90.00
Each line ends with the local moment (μB).
Element x y z (fractional)
As 0.5000 0.5000 0.5000  0.02
Hf 0.0000 0.0000 0.0000  0.09
Cu 0.0000 0.0000 0.5000  0.01
Cu 0.5000 0.0000 0.0000  0.00
Rb 0.0000 0.5000 0.0000  0.01

## Properties
Total magnetization: 0.2 μB per cell
Formation energy from the elements: 1.4379 eV/atom